No. 1
The following is a DFT calculation (GGA-PBE) of a relaxed structure of ScP4Cl.

The value obtained for the total energy is -5.014 eV per atom. The uncorrected formation energy comes out at -0.04 eV per atom. The total magnetic moment comes out at 0.000 μB per formula unit.

The structure belongs to space group F-43m (No. 216); the cell edges are 7.478, 7.478 and 7.478 Å and the angles 90.00°, 90.00° and 90.00°. The asymmetric unit holds Sc at (0.000, 0.000, 0.000), P at (0.111, 0.111, 0.389) and Cl at (0.250, 0.250, 0.750).



No. 2
The following is a DFT calculation (GGA-PBE) of a relaxed structure of ScPCl4.

The value obtained for the total energy is -2.757 eV per atom. The uncorrected formation energy comes out at 0.43 eV per atom. The total magnetic moment comes out at 3.991 μB per formula unit.

The structure belongs to space group F-43m (No. 216); the cell edges are 8.123, 8.123 and 8.123 Å and the angles 90.00°, 90.00° and 90.00°. The asymmetric unit holds Sc at (0.000, 0.000, 0.000), P at (0.250, 0.250, 0.250) and Cl at (0.126, 0.126, 0.626).



No. 3
The following is a DFT calculation (GGA-PBE) of a relaxed structure of ScPCl2.

The value obtained for the total energy is -4.335 eV per atom. The uncorrected formation energy comes out at -0.48 eV per atom. The total magnetic moment comes out at 0.000 μB per formula unit.

The structure belongs to space group I-4m2 (No. 119); the cell edges are 3.952, 3.952 and 9.553 Å and the angles 90.00°, 90.00° and 90.00°. The asymmetric unit holds Sc at (0.000, 0.000, 0.000), P at (0.000, 0.500, 0.250), Cl at (0.000, 0.000, 0.500) and Cl at (0.000, 0.500, 0.750).



No. 4
The following is a DFT calculation (GGA-PBE) of a relaxed structure of ScPCl2.

The value obtained for the total energy is -4.219 eV per atom. The uncorrected formation energy comes out at -0.36 eV per atom. The total magnetic moment comes out at 0.000 μB per formula unit.

The structure belongs to space group Fm-3m (No. 225); the cell edges are 6.641, 6.641 and 6.641 Å and the angles 90.00°, 90.00° and 90.00°. The asymmetric unit holds Sc at (0.000, 0.000, 0.000), P at (0.000, 0.000, 0.500) and Cl at (0.250, 0.250, 0.250).



No. 5
The following is a DFT calculation (GGA-PBE) of a relaxed structure of Sc3PCl.

The value obtained for the total energy is -5.668 eV per atom. The uncorrected formation energy comes out at -0.42 eV per atom. The total magnetic moment comes out at 2.632 μB per formula unit.

The structure belongs to space group Pm-3m (No. 221); the cell edges are 4.985, 4.985 and 4.985 Å and the angles 90.00°, 90.00° and 90.00°. The asymmetric unit holds Sc at (0.000, 0.000, 0.500), P at (0.000, 0.000, 0.000) and Cl at (0.500, 0.500, 0.500).



No. 6
The following is a DFT calculation (GGA-PBE) of a relaxed structure of ScPCl2.

The value obtained for the total energy is -4.585 eV per atom. The uncorrected formation energy comes out at -0.73 eV per atom. The total magnetic moment comes out at 0.654 μB per formula unit.

The structure belongs to space group R-3m (No. 166, hexagonal axes); the cell edges are 3.3331, 3.3331 and 31.4726 Å and the angles 90.00°, 90.00° and 120.00°. The asymmetric unit holds Sc at (0.0000, 0.0000, 0.0000), P at (0.0000, 0.0000, 0.5000) and Cl at (0.0000, 0.0000, 0.3853).



Q: total magnetic moment of number 3 (ScPCl2)?
A: 0.000 μB per formula unit



Q: total magnetic moment of number 6 (ScPCl2)?
A: 0.654 μB per formula unit



Q: Look up the total magnetic moment of the fourth one.
A: 0.000 μB per formula unit



Q: Number 3 is which compound?
A: ScPCl2